# 1
# ScZnAg PBE relaxed
data_ScZnAg
_cell_length_a 6.347
_cell_length_b 6.347
_cell_length_c 6.347
_cell_angle_alpha 90.00
_cell_angle_beta 90.00
_cell_angle_gamma 90.00
_symmetry_space_group_name_H-M 'F -4 3 m'
_symmetry_Int_Tables_number 216
_symmetry_space_group_name_Hall 'F -4 2 3'
loop_
_atom_site_label
_atom_site_type_symbol
_atom_site_fract_x
_atom_site_fract_y
_atom_site_fract_z
_atom_site_occupancy
Sc1 Sc 0.000 0.000 0.000 1
Zn1 Zn 0.000 0.000 0.500 1
Ag1 Ag 0.250 0.250 0.250 1
# Calculated formation energy (eV per atom): -0.026
# Uncorrected energy (eV/atom): -3.4984

# 2
# TmLu2Si4Ni4 PBE relaxed
data_TmLu2Si4Ni4
_cell_length_a 3.964
_cell_length_b 6.544
_cell_length_c 13.080
_cell_angle_alpha 90.00
_cell_angle_beta 90.00
_cell_angle_gamma 90.00
_symmetry_space_group_name_H-M 'I m m m'
_symmetry_Int_Tables_number 71
_symmetry_space_group_name_Hall '-I 2 2'
loop_
_atom_site_label
_atom_site_type_symbol
_atom_site_fract_x
_atom_site_fract_y
_atom_site_fract_z
_atom_site_occupancy
Tm1 Tm 0.000 0.000 0.000 1
Lu1 Lu 0.000 0.500 0.128 1
Si1 Si 0.000 0.000 0.219 1
Si2 Si 0.000 0.187 0.500 1
Ni1 Ni 0.000 0.304 0.324 1
# Uncorrected energy (eV/atom): -6.0456

# 3
# BaTaN2O PBE relaxed
data_BaTaN2O
_cell_length_a 11.774
_cell_length_b 4.139
_cell_length_c 5.902
_cell_angle_alpha 90.00
_cell_angle_beta 90.00
_cell_angle_gamma 90.00
_symmetry_space_group_name_H-M 'P m m a'
_symmetry_Int_Tables_number 51
_symmetry_space_group_name_Hall '-P 2a 2a'
loop_
_atom_site_label
_atom_site_type_symbol
_atom_site_fract_x
_atom_site_fract_y
_atom_site_fract_z
_atom_site_occupancy
Ba1 Ba 0.000 0.000 0.000 1
Ba2 Ba 0.250 0.000 0.477 1
Ta1 Ta 0.000 0.500 0.500 1
Ta2 Ta 0.250 0.500 0.976 1
N1 N 0.000 0.000 0.500 1
N2 N 0.124 0.500 0.751 1
N3 N 0.250 0.000 0.993 1
O1 O 0.125 0.500 0.254 1
# Uncorrected energy (eV/atom): -8.5096

# 4
# Tb2GdAl3CuSn2 PBE relaxed
data_Tb2GdAl3CuSn2
_cell_length_a 4.295
_cell_length_b 12.714
_cell_length_c 7.328
_cell_angle_alpha 90.00
_cell_angle_beta 90.00
_cell_angle_gamma 90.00
_symmetry_space_group_name_H-M 'A m m 2'
_symmetry_Int_Tables_number 38
_symmetry_space_group_name_Hall 'A 2 -2'
loop_
_atom_site_label
_atom_site_type_symbol
_atom_site_fract_x
_atom_site_fract_y
_atom_site_fract_z
_atom_site_occupancy
Tb1 Tb 0.000 0.194 0.000 1
Gd1 Gd 0.000 0.000 0.419 1
Al1 Al 0.500 0.000 0.028 1
Al2 Al 0.500 0.111 0.696 1
Cu1 Cu 0.000 0.000 0.808 1
Sn1 Sn 0.500 0.167 0.306 1
# Uncorrected energy (eV/atom): -4.6569

# 5
# PrZnAu PBE relaxed
data_PrZnAu
_cell_length_a 10.679
_cell_length_b 4.658
_cell_length_c 7.226
_cell_angle_alpha 90.00
_cell_angle_beta 130.92
_cell_angle_gamma 90.00
_symmetry_space_group_name_H-M 'C 1 2/m 1'
_symmetry_Int_Tables_number 12
_symmetry_space_group_name_Hall '-C 2y'
loop_
_atom_site_label
_atom_site_type_symbol
_atom_site_fract_x
_atom_site_fract_y
_atom_site_fract_z
_atom_site_occupancy
Pr1 Pr 0.031 0.000 0.287 1
Zn1 Zn 0.161 0.500 0.115 1
Au1 Au 0.176 0.500 0.712 1
# Calculated formation energy (eV per atom): -0.627
# Uncorrected energy (eV/atom): -3.7294

# 6
# Cs2IrF6 PBE relaxed
data_Cs2IrF6
_cell_length_a 5.9554
_cell_length_b 5.9554
_cell_length_c 4.6783
_cell_angle_alpha 90.00
_cell_angle_beta 90.00
_cell_angle_gamma 120.00
_symmetry_space_group_name_H-M 'P -3 m 1'
_symmetry_Int_Tables_number 164
_symmetry_space_group_name_Hall '-P 3 2"'
loop_
_atom_site_label
_atom_site_type_symbol
_atom_site_fract_x
_atom_site_fract_y
_atom_site_fract_z
_atom_site_occupancy
Cs1 Cs 0.3333 0.6667 0.2847 1
Ir1 Ir 0.0000 0.0000 0.0000 1
F1 F 0.1580 0.3160 0.7680 1
# Uncorrected energy (eV/atom): -4.5406

# 7
# AgOsO3 PBE relaxed
data_AgOsO3
_cell_length_a 3.862
_cell_length_b 3.862
_cell_length_c 3.880
_cell_angle_alpha 90.00
_cell_angle_beta 90.00
_cell_angle_gamma 90.00
_symmetry_space_group_name_H-M 'P 4 m m'
_symmetry_Int_Tables_number 99
_symmetry_space_group_name_Hall 'P 4 -2'
loop_
_atom_site_label
_atom_site_type_symbol
_atom_site_fract_x
_atom_site_fract_y
_atom_site_fract_z
_atom_site_occupancy
Ag1 Ag 0.000 0.000 0.000 1
Os1 Os 0.500 0.500 0.503 1
O1 O 0.000 0.500 0.503 1
O2 O 0.500 0.500 0.004 1
# Uncorrected energy (eV/atom): -6.2935

# 8
# OsPdO3 PBE relaxed
data_OsPdO3
_cell_length_a 5.576
_cell_length_b 7.425
_cell_length_c 5.251
_cell_angle_alpha 90.00
_cell_angle_beta 90.00
_cell_angle_gamma 90.00
_symmetry_space_group_name_H-M 'P n m a'
_symmetry_Int_Tables_number 62
_symmetry_space_group_name_Hall '-P 2ac 2n'
loop_
_atom_site_label
_atom_site_type_symbol
_atom_site_fract_x
_atom_site_fract_y
_atom_site_fract_z
_atom_site_occupancy
Os1 Os 0.000 0.000 0.000 1
Pd1 Pd 0.001 0.250 0.490 1
O1 O 0.018 0.750 0.069 1
O2 O 0.175 0.522 0.663 1
# Uncorrected energy (eV/atom): -6.6707

# 9
# AgPbI6 PBE relaxed
data_AgPbI6
_cell_length_a 10.918
_cell_length_b 10.918
_cell_length_c 10.918
_cell_angle_alpha 90.00
_cell_angle_beta 90.00
_cell_angle_gamma 90.00
_symmetry_space_group_name_H-M 'F -4 3 m'
_symmetry_Int_Tables_number 216
_symmetry_space_group_name_Hall 'F -4 2 3'
loop_
_atom_site_label
_atom_site_type_symbol
_atom_site_fract_x
_atom_site_fract_y
_atom_site_fract_z
_atom_site_occupancy
Ag1 Ag 0.000 0.000 0.000 1
Pb1 Pb 0.250 0.250 0.250 1
I1 I 0.000 0.000 0.256 1
# Uncorrected energy (eV/atom): -1.9397

# 10
# TmBr PBE relaxed
data_TmBr
_cell_length_a 5.777
_cell_length_b 5.777
_cell_length_c 5.777
_cell_angle_alpha 90.00
_cell_angle_beta 90.00
_cell_angle_gamma 90.00
_symmetry_space_group_name_H-M 'F m -3 m'
_symmetry_Int_Tables_number 225
_symmetry_space_group_name_Hall '-F 4 2 3'
loop_
_atom_site_label
_atom_site_type_symbol
_atom_site_fract_x
_atom_site_fract_y
_atom_site_fract_z
_atom_site_occupancy
Tm1 Tm 0.000 0.000 0.000 1
Br1 Br 0.000 0.000 0.500 1
# Uncorrected energy (eV/atom): -3.5954

# 11
# DyY2Er2Tm2Ni2S2 PBE relaxed
data_DyY2Er2Tm2Ni2S2
_cell_length_a 3.762
_cell_length_b 14.736
_cell_length_c 9.105
_cell_angle_alpha 90.00
_cell_angle_beta 90.00
_cell_angle_gamma 90.00
_symmetry_space_group_name_H-M 'I m m 2'
_symmetry_Int_Tables_number 44
_symmetry_space_group_name_Hall 'I 2 -2'
loop_
_atom_site_label
_atom_site_type_symbol
_atom_site_fract_x
_atom_site_fract_y
_atom_site_fract_z
_atom_site_occupancy
Dy1 Dy 0.000 0.000 0.000 1
Y1 Y 0.000 0.365 0.246 1
Er1 Er 0.000 0.120 0.403 1
Tm1 Tm 0.000 0.316 0.611 1
Ni1 Ni 0.000 0.242 0.918 1
S1 S 0.000 0.000 0.653 1
S2 S 0.000 0.500 0.749 1
# Uncorrected energy (eV/atom): -5.8614

# 12
# ScOsNO PBE relaxed
data_ScOsNO
_cell_length_a 3.755
_cell_length_b 3.755
_cell_length_c 6.923
_cell_angle_alpha 90.00
_cell_angle_beta 90.00
_cell_angle_gamma 90.00
_symmetry_space_group_name_H-M 'P 4/n m m'
_symmetry_Int_Tables_number 129
loop_
_symmetry_equiv_pos_as_xyz
'x,y,z'
'-x,-y,-z'
'-y+1/2,x,z'
'y+1/2,-x,-z'
'-x+1/2,-y+1/2,z'
'x+1/2,y+1/2,-z'
'y,-x+1/2,z'
'-y,x+1/2,-z'
'x+1/2,-y,-z'
'-x+1/2,y,z'
'-y,-x,-z'
'y,x,z'
'-x,y+1/2,-z'
'x,-y+1/2,z'
'y+1/2,x+1/2,-z'
'-y+1/2,-x+1/2,z'
loop_
_atom_site_label
_atom_site_type_symbol
_atom_site_fract_x
_atom_site_fract_y
_atom_site_fract_z
_atom_site_occupancy
Sc1 Sc 0.250 0.250 0.134 1
Os1 Os 0.250 0.750 0.500 1
N1 N 0.250 0.250 0.638 1
O1 O 0.250 0.750 0.000 1
# Uncorrected energy (eV/atom): -8.8894
# Offset from the most stable computed form (meV/atom): 286

Q: Which of these has the lowest uncorrected energy?
A: ScOsNO